Entry 1:
This record from the Alexandria database describes NdDy3Y2Bi6 after structural relaxation. The functional is GGA-PBE. Values from VASP.

The structure in Quantum ESPRESSO input format:
```
&SYSTEM
  ibrav = 0, nat = 12, ntyp = 4
/
ATOMIC_SPECIES
Nd 144.24 Nd.upf
Dy 162.50 Dy.upf
Y 88.91 Y.upf
Bi 208.98 Bi.upf
ATOMIC_POSITIONS crystal
Nd 0.500 0.000 0.000
Dy 0.500 0.500 0.000
Dy 0.834 0.167 0.669
Dy 0.166 0.833 0.331
Y 0.833 0.666 0.665
Y 0.167 0.334 0.335
Bi 0.331 0.916 0.662
Bi 0.666 0.584 0.333
Bi 0.669 0.084 0.338
Bi 0.000 0.256 0.001
Bi 0.000 0.744 0.999
Bi 0.334 0.416 0.667
CELL_PARAMETERS angstrom
-3.661 0.683 -2.529
-5.145 -0.235 7.384
4.161 9.152 0.455
```

Output
DFT formation energy (eV/atom): -0.88
N(E_F) (states/eV/f.u.): 2.0
VASP energy (eV/atom): -5.450

***

Entry 2:
This record from the Alexandria database describes NdDy2Y3Bi6 after structural relaxation. The functional is GGA-PBE. Values from VASP.

The structure in Quantum ESPRESSO input format:
```
&SYSTEM
  ibrav = 0, nat = 12, ntyp = 4
/
ATOMIC_SPECIES
Nd 144.24 Nd.upf
Dy 162.50 Dy.upf
Y 88.91 Y.upf
Bi 208.98 Bi.upf
ATOMIC_POSITIONS crystal
Nd 0.000 0.000 0.000
Dy 0.333 0.667 0.000
Dy 0.667 0.333 0.000
Y 0.164 0.836 0.500
Y 0.836 0.164 0.500
Y 0.500 0.500 0.500
Bi 0.916 0.577 0.747
Bi 0.745 0.745 0.251
Bi 0.084 0.423 0.253
Bi 0.577 0.916 0.747
Bi 0.255 0.255 0.749
Bi 0.423 0.084 0.253
CELL_PARAMETERS angstrom
7.802 -0.002 0.001
-3.901 6.757 0.001
-1.301 -2.253 7.348
```

Output
DFT formation energy (eV/atom): -0.89
N(E_F) (states/eV/f.u.): 2.2
VASP energy (eV/atom): -5.612

***

Entry 3:
This record from the Alexandria database describes Dy12Ni5Bi after structural relaxation. The functional is GGA-PBE. Values from VASP.

The structure in Quantum ESPRESSO input format:
```
&SYSTEM
  ibrav = 0, nat = 18, ntyp = 3
/
ATOMIC_SPECIES
Dy 162.50 Dy.upf
Ni 58.69 Ni.upf
Bi 208.98 Bi.upf
ATOMIC_POSITIONS crystal
Dy 0.526 0.821 0.705
Dy 0.474 0.179 0.295
Dy 0.884 0.179 0.705
Dy 0.116 0.821 0.295
Dy 0.692 0.680 0.372
Dy 0.308 0.320 0.628
Dy 0.308 0.680 0.988
Dy 0.692 0.320 0.012
Dy 0.807 0.601 0.794
Dy 0.193 0.399 0.206
Dy 0.193 0.987 0.794
Dy 0.807 0.013 0.206
Ni 0.633 0.633 0.000
Ni 0.367 0.367 0.000
Ni 0.500 0.124 0.624
Ni 0.500 0.876 0.376
Ni 0.000 0.000 0.000
Bi 0.000 0.500 0.500
CELL_PARAMETERS angstrom
-6.785 0.534 4.864
1.994 -8.041 -1.158
6.633 3.696 3.509
```

Output
DFT formation energy (eV/atom): -0.37
N(E_F) (states/eV/f.u.): 17.7
VASP energy (eV/atom): -5.264

***

Entry 4:
This record from the Alexandria database describes Dy8Ni3Bi2 after structural relaxation. The functional is GGA-PBE. Values from VASP.

The structure in Quantum ESPRESSO input format:
```
&SYSTEM
  ibrav = 0, nat = 13, ntyp = 3
/
ATOMIC_SPECIES
Dy 162.50 Dy.upf
Ni 58.69 Ni.upf
Bi 208.98 Bi.upf
ATOMIC_POSITIONS crystal
Dy 0.856 0.573 0.146
Dy 0.144 0.427 0.854
Dy 0.861 0.123 0.245
Dy 0.139 0.877 0.755
Dy 0.636 0.654 0.796
Dy 0.636 0.143 0.796
Dy 0.364 0.857 0.204
Dy 0.364 0.346 0.204
Ni 0.500 0.000 0.000
Ni 0.000 0.185 0.000
Ni 0.000 0.815 0.000
Bi 0.312 0.262 0.524
Bi 0.688 0.738 0.476
CELL_PARAMETERS angstrom
6.597 0.000 0.427
0.000 7.304 0.000
-2.207 -3.652 7.751
```

Output
DFT formation energy (eV/atom): -0.33
N(E_F) (states/eV/f.u.): 11.7
VASP energy (eV/atom): -5.088

***

Entry 5:
This record from the Alexandria database describes Dy5NiBi4 after structural relaxation. The functional is GGA-PBE. Values from VASP.

The structure in Quantum ESPRESSO input format:
```
&SYSTEM
  ibrav = 0, nat = 10, ntyp = 3
/
ATOMIC_SPECIES
Dy 162.50 Dy.upf
Ni 58.69 Ni.upf
Bi 208.98 Bi.upf
ATOMIC_POSITIONS crystal
Dy 0.917 0.381 0.814
Dy 0.298 0.814 0.619
Dy 0.731 0.186 0.381
Dy 0.112 0.619 0.186
Dy 0.406 0.000 0.000
Ni 0.984 0.000 0.000
Bi 0.424 0.391 0.791
Bi 0.815 0.791 0.609
Bi 0.216 0.209 0.391
Bi 0.607 0.609 0.209
CELL_PARAMETERS angstrom
-6.014 1.589 0.905
-4.981 -4.189 -3.917
-3.394 -3.670 5.719
```

Output
DFT formation energy (eV/atom): -0.61
N(E_F) (states/eV/f.u.): 6.5
VASP energy (eV/atom): -5.039

***

Entry 6:
This record from the Alexandria database describes Dy6NiBi3 after structural relaxation. The functional is GGA-PBE. Values from VASP.

The structure in Quantum ESPRESSO input format:
```
&SYSTEM
  ibrav = 0, nat = 20, ntyp = 3
/
ATOMIC_SPECIES
Dy 162.50 Dy.upf
Ni 58.69 Ni.upf
Bi 208.98 Bi.upf
ATOMIC_POSITIONS crystal
Dy 0.069 0.779 0.635
Dy 0.569 0.635 0.779
Dy 0.228 0.417 0.898
Dy 0.728 0.898 0.417
Dy 0.309 0.989 0.011
Dy 0.738 0.233 0.767
Dy 0.238 0.767 0.233
Dy 0.809 0.011 0.989
Dy 0.228 0.102 0.583
Dy 0.728 0.583 0.102
Dy 0.069 0.365 0.221
Dy 0.569 0.221 0.365
Ni 0.077 0.141 0.859
Ni 0.577 0.859 0.141
Bi 0.522 0.916 0.709
Bi 0.022 0.709 0.916
Bi 0.223 0.429 0.571
Bi 0.723 0.571 0.429
Bi 0.022 0.084 0.291
Bi 0.522 0.291 0.084
CELL_PARAMETERS angstrom
6.522 0.000 0.000
0.000 9.873 -0.685
0.000 -2.871 9.471
```

Output
DFT formation energy (eV/atom): -0.39
N(E_F) (states/eV/f.u.): 7.2
VASP energy (eV/atom): -4.897